The following is a DFT calculation (GGA-PBE) of a geometry-optimized GdTlPt structure.

a b c (Å): 6.7569 6.7569 6.7569
angles (deg): 90.00 90.00 90.00
Space group F-43m (No. 216)
Inequivalent atoms, fractional coordinates:
Gd 0.0000 0.0000 0.0000 (multiplicity 4)
Tl 0.2500 0.2500 0.2500 (multiplicity 4)
Pt 0.0000 0.0000 0.5000 (multiplicity 4)

Computed properties:
Calculated total energy ... -4.55 eV/atom
Theoretical density ... 11.99 g/cm³
Crystal system ... cubic

=====

The following is a DFT calculation (GGA-PBE) of a geometry-optimized GdTmPt structure.

a b c (Å): 6.6983 6.6983 6.6983
angles (deg): 90.00 90.00 90.00
Space group F-43m (No. 216)
Inequivalent atoms, fractional coordinates:
Gd 0.0000 0.0000 0.0000 (multiplicity 4)
Tm 0.2500 0.2500 0.2500 (multiplicity 4)
Pt 0.0000 0.0000 0.5000 (multiplicity 4)

Computed properties:
Formation enthalpy at 0 K ... -0.1342 eV per atom
Theoretical density ... 11.52 g/cm³
Crystal system ... cubic

=====

The following is a DFT calculation (GGA-PBE) of a geometry-optimized GdUPt structure.

a b c (Å): 6.8194 6.8194 6.8194
angles (deg): 90.00 90.00 90.00
Space group F-43m (No. 216)
Inequivalent atoms, fractional coordinates:
Gd 0.0000 0.0000 0.0000 (multiplicity 4)
U 0.0000 0.0000 0.5000 (multiplicity 4)
Pt 0.2500 0.2500 0.2500 (multiplicity 4)

Computed properties:
Formation enthalpy at 0 K ... -0.1906 eV per atom
Theoretical density ... 12.36 g/cm³
Crystal system ... cubic

=====

The following is a DFT calculation (GGA-PBE) of a geometry-optimized GdZrPt structure.

a b c (Å): 6.5873 6.5873 6.5873
angles (deg): 90.00 90.00 90.00
Space group F-43m (No. 216)
Inequivalent atoms, fractional coordinates:
Gd 0.0000 0.0000 0.0000 (multiplicity 4)
Zr 0.2500 0.2500 0.2500 (multiplicity 4)
Pt 0.2500 0.2500 0.7500 (multiplicity 4)

Computed properties:
Formation enthalpy at 0 K ... 0.2532 eV per atom
Theoretical density ... 10.31 g/cm³
Crystal system ... cubic

=====

The following is a DFT calculation (GGA-PBE) of a geometry-optimized GdZrPt structure.

a b c (Å): 6.7071 6.7071 6.7071
angles (deg): 90.00 90.00 90.00
Space group F-43m (No. 216)
Inequivalent atoms, fractional coordinates:
Gd 0.0000 0.0000 0.0000 (multiplicity 4)
Zr 0.0000 0.0000 0.5000 (multiplicity 4)
Pt 0.2500 0.2500 0.2500 (multiplicity 4)

Computed properties:
Formation enthalpy at 0 K ... -0.5700 eV per atom
Theoretical density ... 9.76 g/cm³
Crystal system ... cubic

=====

The following is a DFT calculation (GGA-PBE) of a geometry-optimized GdPu structure.

a b c (Å): 6.6172 6.6172 6.6172
angles (deg): 90.00 90.00 90.00
Space group F-43m (No. 216)
Inequivalent atoms, fractional coordinates:
Gd 0.0000 0.0000 0.0000 (multiplicity 4)
Pu 0.2500 0.2500 0.7500 (multiplicity 4)

Computed properties:
Formation enthalpy at 0 K ... 1.6248 eV per atom
Theoretical density ... 9.20 g/cm³
Crystal system ... cubic

=====

The following is a DFT calculation (GGA-PBE) of a geometry-optimized GdPu2 structure.

a b c (Å): 14.3576 14.3576 14.3576
angles (deg): 90.00 90.00 90.00
Space group Fd-3m (No. 227, origin choice 2)
Inequivalent atoms, fractional coordinates:
Gd 0.1250 0.1250 0.1250 (multiplicity 8)
Pu 0.0000 0.0000 0.0000 (multiplicity 16)

Computed properties:
Formation enthalpy at 0 K ... 2.3308 eV per atom
Theoretical density ... 2.90 g/cm³
Crystal system ... cubic

=====

The following is a DFT calculation (GGA-PBE) of a geometry-optimized Gd3Pu structure.

a b c (Å): 4.7458 4.7458 10.4381
angles (deg): 90.00 90.00 90.00
Space group I4/mmm (No. 139)
Inequivalent atoms, fractional coordinates:
Gd 0.0000 0.0000 0.0000 (multiplicity 2)
Gd 0.0000 0.5000 0.2500 (multiplicity 4)
Pu 0.0000 0.0000 0.5000 (multiplicity 2)

Computed properties:
Formation enthalpy at 0 K ... 0.0959 eV per atom
Theoretical density ... 10.11 g/cm³
Crystal system ... tetragonal